A plane-wave DFT calculation with GGA+U was carried out for CuNi2F after structural relaxation.

Cell: 8.7313 8.7313 8.7313 Å, 156.87 156.87 32.95°
Closest atoms and distances in Å follow each position.
Atoms (fractional coordinates):
Cu1 0.0000 0.0000 0.0000  4 Ni 2.45, 4 F 2.48
Cu2 0.7500 0.2500 0.5000  4 Ni 2.45, 4 F 2.48
Ni1 0.1374 0.6250 0.0124  4 Ni 2.42-2.54, 2 F 2.42, 2 Cu 2.45
Ni2 0.3750 0.3874 0.5124  4 Ni 2.42-2.54, 2 F 2.42, 2 Cu 2.45
Ni3 0.6126 0.1250 0.9876  4 Ni 2.42-2.54, 2 F 2.42, 2 Cu 2.45
Ni4 0.8750 0.8626 0.4876  4 Ni 2.42-2.54, 2 F 2.42, 2 Cu 2.45
F1 0.2500 0.7500 0.5000  4 Ni 2.42, 4 Cu 2.48
F2 0.5000 0.5000 0.0000  4 Ni 2.42, 4 Cu 2.48

Total DFT energy (no corrections) (eV/atom): -2.568
V (Å³ per cell): 102.7